1.
The following is a PBE calculation of an optimized crystal structure of SrRu3, from Alexandria.

Geometry as extended XYZ:
```
4
Lattice="2.9057 0.0000 0.0000 0.0000 4.4010 0.0000 -1.2349 0.0000 5.9122" Properties=species:S:1:pos:R:3 pbc="T T T"
Sr 0.0000 0.0000 0.0000
Ru 0.0324 2.2005 4.0213
Ru 0.8354 0.0000 2.9561
Ru 1.6384 2.2005 1.8909
```

Computed properties:
- E_form (meV per atom) = 732
- Fermi-level density of states (states/eV per atom) = 1.86

---

2.
The following is a PBE calculation of an optimized crystal structure of Sr2PmCdS4, from Alexandria.

Geometry as extended XYZ:
```
8
Lattice="7.0903 0.0000 0.0000 0.0000 4.1366 0.0000 -2.5049 0.0000 6.9098" Properties=species:S:1:pos:R:3 pbc="T T T"
Sr 0.0000 0.0000 0.0000
Sr -1.2524 2.0683 3.4549
Pm 2.2927 0.0000 3.4549
Cd 3.5452 2.0683 0.0000
S 1.2173 2.0683 1.7851
S 0.0363 0.0000 5.1984
S 4.5492 0.0000 1.7114
S 3.3682 2.0683 5.1247
```

Computed properties:
- E_form (uncorrected) (eV per formula unit) = -13.2
- Fermi-level density of states (states/eV per atom) = 0.45

---

3.
The following is a PBE calculation of an optimized crystal structure of La4BiSbN, from Alexandria.

Geometry as extended XYZ:
```
14
Lattice="3.4259 -8.9734 0.0000 3.4259 8.9734 0.0000 0.0000 0.0000 6.8596" Properties=species:S:1:pos:R:3 pbc="T T T"
La 1.7130 4.4867 0.0000
La 1.7130 4.4867 3.4298
La 3.4259 7.6715 5.1447
La 3.4259 1.5154 5.1447
La 1.7130 -4.4867 0.0000
La 1.7130 -4.4867 3.4298
La 3.4259 -1.5154 1.7149
La 3.4259 -7.6715 1.7149
Bi 3.4259 1.9339 1.7149
Bi 3.4259 -1.9339 5.1447
Sb 3.4259 6.9846 1.7149
Sb 3.4259 -6.9846 5.1447
N 3.4259 3.9081 5.1447
N 3.4259 -3.9081 1.7149
```

Computed properties:
- E_form (uncorrected) (eV per formula unit) = -7.4
- Fermi-level density of states (states/eV per atom) = 1.06

---

4.
The following is a PBE calculation of an optimized crystal structure of CaTaOs2, from Alexandria.

Geometry as extended XYZ:
```
4
Lattice="3.1656 0.0000 0.0000 0.0000 4.4391 0.0000 0.0000 0.0000 4.8779" Properties=species:S:1:pos:R:3 pbc="T T T"
Ca 0.0000 0.0000 0.0000
Ta 1.5828 0.0000 2.4389
Os 0.0000 2.2195 2.4389
Os 1.5828 2.2195 0.0000
```

Computed properties:
- E_form (meV per atom) = 618
- ΔE to the lowest computed polymorph (meV/atom) = 602
- Fermi-level density of states (states/eV per atom) = 1.02

---

5.
The following is a PBE calculation of an optimized crystal structure of KRe2Ru, from Alexandria.

Geometry as extended XYZ:
```
4
Lattice="4.6087 -1.4038 0.0000 4.6087 1.4038 0.0000 -0.8435 0.0000 6.8022" Properties=species:S:1:pos:R:3 pbc="T T T"
K 0.0000 0.0000 0.0000
Re 1.4813 0.0000 4.3239
Re 4.1563 0.0000 3.3853
Ru 6.8947 0.0000 2.3873
```

Computed properties:
- E_form (meV per atom) = 948
- ΔE to the lowest computed polymorph (meV/atom) = 244
- Fermi-level density of states (states/eV per atom) = 0.88

---

6.
The following is a PBE calculation of an optimized crystal structure of CdRe2Pt, from Alexandria.

Geometry as extended XYZ:
```
4
Lattice="-1.9241 1.9241 4.3325 1.9241 -1.9241 4.3325 1.9241 1.9241 -4.3325" Properties=species:S:1:pos:R:3 pbc="T T T"
Cd 0.0000 0.0000 0.0000
Re 1.9241 0.0000 2.1663
Re 0.0000 1.9241 2.1663
Pt 0.0000 0.0000 4.3325
```

Computed properties:
- E_form (meV per atom) = 405
- Fermi-level density of states (states/eV per atom) = 0.55

---

7.
The following is a PBE calculation of an optimized crystal structure of Rb6ZrSb4, from Alexandria.

Geometry as extended XYZ:
```
22
Lattice="11.6287 0.0000 0.0000 -5.8144 10.0708 0.0000 0.0000 0.0000 9.1523" Properties=species:S:1:pos:R:3 pbc="T T T"
Rb -2.3758 5.3422 0.0000
Rb 0.0000 2.8852 6.2542
Rb -3.3157 8.6282 6.2542
Rb 2.4987 1.4426 1.6781
Rb 2.3758 5.3422 0.0000
Rb 0.0000 9.4572 0.0000
Rb 5.8144 0.6136 4.5762
Rb 3.4385 4.7286 4.5762
Rb 3.3157 8.6282 6.2542
Rb 9.1300 1.4426 1.6781
Rb 5.8144 7.1855 1.6781
Rb 8.1902 4.7286 4.5762
Zr 0.0000 6.7139 3.5399
Zr 5.8144 3.3569 8.1161
Sb 0.0000 4.0067 2.7075
Sb -2.3445 8.0674 2.7075
Sb 0.0000 6.7139 6.3558
Sb 3.4699 2.0033 7.2837
Sb 2.3445 8.0674 2.7075
Sb 5.8144 3.3569 1.7797
Sb 8.1588 2.0033 7.2837
Sb 5.8144 6.0641 7.2837
```

Computed properties:
- E_form (uncorrected) (eV per formula unit) = -4.5
- Fermi-level density of states (states/eV per atom) = 0.70

---

8.
The following is a PBE calculation of an optimized crystal structure of Li2TcSb, from Alexandria.

Geometry as extended XYZ:
```
4
Lattice="2.8202 0.0000 0.0000 0.0000 2.8202 0.0000 0.0000 0.0000 8.8223" Properties=species:S:1:pos:R:3 pbc="T T T"
Li 0.0000 0.0000 2.0898
Li 0.0000 0.0000 6.7325
Tc 1.4101 1.4101 0.0000
Sb 1.4101 1.4101 4.4111
```

Computed properties:
- E_form (uncorrected) (eV per formula unit) = 1.0
- Fermi-level density of states (states/eV per atom) = 0.59

---

9.
The following is a PBE calculation of an optimized crystal structure of ScAl2Si, from Alexandria.

Geometry as extended XYZ:
```
4
Lattice="3.9962 0.0000 0.0000 0.0000 3.9962 0.0000 0.0000 0.0000 4.1631" Properties=species:S:1:pos:R:3 pbc="T T T"
Sc 0.0000 0.0000 0.0000
Al 0.0000 1.9981 2.0816
Al 1.9981 0.0000 2.0816
Si 1.9981 1.9981 0.0000
```

Computed properties:
- E_form (uncorrected) (eV per formula unit) = -1.6
- Fermi-level density of states (states/eV per atom) = 0.47

---

10.
The following is a PBE calculation of an optimized crystal structure of H3RuS, from Alexandria.

Geometry as extended XYZ:
```
5
Lattice="3.4822 0.0000 0.0000 0.0000 3.4822 0.0000 0.0000 0.0000 3.4822" Properties=species:S:1:pos:R:3 pbc="T T T"
H 0.0000 0.0000 1.7411
H 0.0000 1.7411 0.0000
H 1.7411 0.0000 0.0000
Ru 0.0000 0.0000 0.0000
S 1.7411 1.7411 1.7411
```

Computed properties:
- ΔE to the lowest computed polymorph (meV/atom) = 0
- Fermi-level density of states (states/eV per atom) = 0.68

---

11.
The following is a PBE calculation of an optimized crystal structure of MnBe4Cu, from Alexandria.

Geometry as extended XYZ:
```
6
Lattice="0.0000 3.0255 3.0255 3.0255 0.0000 3.0255 3.0255 3.0255 0.0000" Properties=species:S:1:pos:R:3 pbc="T T T"
Mn 0.0000 0.0000 0.0000
Be 2.2618 2.2618 2.2618
Be 3.7891 3.7891 2.2618
Be 3.7891 2.2618 3.7891
Be 2.2618 3.7891 3.7891
Cu 4.5382 4.5382 4.5382
```

Computed properties:
- E_form (meV per atom) = -79
- Fermi-level density of states (states/eV per atom) = 0.84

---

12.
The following is a PBE calculation of an optimized crystal structure of TiGe3Cl, from Alexandria.

Geometry as extended XYZ:
```
5
Lattice="4.8319 0.0000 0.0000 0.0000 4.8319 0.0000 0.0000 0.0000 4.8319" Properties=species:S:1:pos:R:3 pbc="T T T"
Ti 0.0000 0.0000 0.0000
Ge 0.0000 2.4159 2.4159
Ge 2.4159 0.0000 2.4159
Ge 2.4159 2.4159 0.0000
Cl 2.4159 2.4159 2.4159
```

Computed properties:
- E_form (uncorrected) (eV per formula unit) = 4.3
- ΔE to the lowest computed polymorph (meV/atom) = 583
- Fermi-level density of states (states/eV per atom) = 0.93

---

13.
The following is a PBE calculation of an optimized crystal structure of Ac2MgAuO6, from Alexandria.

Geometry as extended XYZ:
```
10
Lattice="5.6763 0.0000 0.0000 0.0000 5.6763 0.0000 0.0000 0.0000 4.2981" Properties=species:S:1:pos:R:3 pbc="T T T"
Ac 0.0000 2.8382 0.0000
Ac 2.8382 0.0000 0.0000
Mg 0.0000 0.0000 2.2553
Au 2.8382 2.8382 2.3657
O 0.0000 0.0000 0.1896
O 1.4206 1.4206 2.4659
O 1.4206 4.2558 2.4659
O 2.8382 2.8382 0.2263
O 4.2558 1.4206 2.4659
O 4.2558 4.2558 2.4659
```

Computed properties:
- E_form (uncorrected) (eV per formula unit) = -21.8
- Fermi-level density of states (states/eV per atom) = 0.13

---

14.
The following is a PBE calculation of an optimized crystal structure of YTlIn2, from Alexandria.

Geometry as extended XYZ:
```
4
Lattice="3.2677 -4.6087 0.0000 3.2677 4.6087 0.0000 0.0000 0.0000 3.5805" Properties=species:S:1:pos:R:3 pbc="T T T"
Y 0.0000 0.0000 0.0000
Tl 3.2677 0.0000 0.0000
In 1.6338 2.3044 1.7903
In 1.6338 -2.3044 1.7903
```

Computed properties:
- E_form (meV per atom) = -266
- Fermi-level density of states (states/eV per atom) = 0.58

---

15.
The following is a PBE calculation of an optimized crystal structure of Ca3Sn2Pt, from Alexandria.

Geometry as extended XYZ:
```
24
Lattice="12.4226 0.0000 0.0000 0.0000 4.6710 0.0000 0.0000 0.0000 11.7318" Properties=species:S:1:pos:R:3 pbc="T T T"
Ca 0.6735 1.1677 1.3667
Ca 1.4122 3.5032 6.5149
Ca 2.7804 1.1677 9.4358
Ca 3.4309 3.5032 3.5699
Ca 4.7991 1.1677 0.6491
Ca 5.5378 3.5032 7.2326
Ca 6.8848 1.1677 4.4992
Ca 7.6235 3.5032 11.0827
Ca 8.9917 1.1677 8.1619
Ca 9.6422 3.5032 2.2960
Ca 11.0104 1.1677 5.2168
Ca 11.7490 3.5032 10.3651
Sn 0.2296 3.5032 3.4884
Sn 2.5123 3.5032 0.0465
Sn 3.6990 1.1677 5.9123
Sn 5.9817 1.1677 9.3543
Sn 6.4409 3.5032 2.3775
Sn 8.7236 3.5032 5.8194
Sn 9.9103 1.1677 11.6853
Sn 12.1930 1.1677 8.2434
Pt 1.4587 1.1677 4.3252
Pt 4.7526 3.5032 10.1911
Pt 7.6700 1.1677 1.5406
Pt 10.9638 3.5032 7.4065
```

Computed properties:
- E_form (meV per atom) = -747
- Fermi-level density of states (states/eV per atom) = 0.69

---

16.
The following is a PBE calculation of an optimized crystal structure of MgTi2HPb, from Alexandria.

Geometry as extended XYZ:
```
5
Lattice="4.1317 0.0000 0.0000 0.0000 4.1317 0.0000 0.0000 0.0000 4.5624" Properties=species:S:1:pos:R:3 pbc="T T T"
Mg 0.0000 0.0000 0.0000
Ti 0.0000 2.0659 2.2812
Ti 2.0659 0.0000 2.2812
H 0.0000 0.0000 2.2812
Pb 2.0659 2.0659 0.0000
```

Computed properties:
- ΔE to the lowest computed polymorph (meV/atom) = 0
- Fermi-level density of states (states/eV per atom) = 0.52

---

17.
The following is a PBE calculation of an optimized crystal structure of La9Mg2Tl, from Alexandria.

Geometry as extended XYZ:
```
12
Lattice="5.9088 0.0000 0.0000 0.0000 5.9088 0.0000 0.0000 0.0000 11.4578" Properties=species:S:1:pos:R:3 pbc="T T T"
La 0.0000 0.0000 0.0000
La 0.0000 0.0000 3.7998
La 0.0000 0.0000 7.6580
La 0.0000 2.9544 1.8836
La 0.0000 2.9544 5.7289
La 0.0000 2.9544 9.5742
La 2.9544 0.0000 1.8836
La 2.9544 0.0000 5.7289
La 2.9544 0.0000 9.5742
Mg 2.9544 2.9544 3.8291
Mg 2.9544 2.9544 7.6287
Tl 2.9544 2.9544 0.0000
```

Computed properties:
- E_form (meV per atom) = -60
- Fermi-level density of states (states/eV per atom) = 1.35

---

18.
The following is a PBE calculation of an optimized crystal structure of BaLa2OsO8, from Alexandria.

Geometry as extended XYZ:
```
12
Lattice="3.8631 -3.7146 0.0000 3.8631 3.7146 0.0000 -0.0047 0.0000 7.3961" Properties=species:S:1:pos:R:3 pbc="T T T"
Ba 0.0000 0.0000 0.0000
La 3.8638 0.0000 1.8080
La 3.8577 0.0000 5.5881
Os -0.0023 0.0000 3.6981
O 3.8561 2.3875 2.3584
O 3.8654 2.3875 5.0378
O 1.8682 0.0000 3.6945
O 2.5447 0.0000 0.0005
O 5.1768 0.0000 7.3956
O 5.8533 0.0000 3.7016
O 3.8561 -2.3875 2.3584
O 3.8654 -2.3875 5.0378
```

Computed properties:
- E_form (uncorrected) (eV per formula unit) = -27.0

---

19.
The following is a PBE calculation of an optimized crystal structure of Sr3Nd3MgTe8, from Alexandria.

Geometry as extended XYZ:
```
15
Lattice="4.5350 2.6183 7.6777 -4.5350 2.6183 7.6777 0.0000 -5.2365 7.6777" Properties=species:S:1:pos:R:3 pbc="T T T"
Sr -2.2675 -1.3091 7.6777
Sr -2.2675 1.3091 15.3553
Sr 0.0000 2.6183 7.6777
Nd -4.5350 0.0000 11.5165
Nd -2.2675 1.3091 3.8388
Nd 2.2675 1.3091 3.8388
Mg 0.0000 0.0000 11.5165
Te 0.0000 0.0000 5.6776
Te -2.1934 -1.2664 13.2645
Te 0.0000 -2.5328 9.7686
Te -2.1934 1.2664 9.7686
Te 2.1934 -1.2664 13.2644
Te 0.0000 2.5328 13.2644
Te 2.1934 1.2664 9.7686
Te 0.0000 0.0000 17.3554
```

Computed properties:
- E_form (uncorrected) (eV per formula unit) = -21.7
- Fermi-level density of states (states/eV per atom) = 0.28

---

20.
The following is a PBE calculation of an optimized crystal structure of TeHAu, from Alexandria.

Geometry as extended XYZ:
```
12
Lattice="0.0000 10.2455 2.5422 4.8722 0.0000 2.5422 4.8722 10.2455 0.0000" Properties=species:S:1:pos:R:3 pbc="T T T"
Te 5.8580 9.0872 2.5422
Te 3.8863 11.4039 2.5422
Te 8.2941 16.5266 3.8134
Te 6.3224 14.2100 3.8134
H 4.8956 0.3784 2.5780
H 2.4595 4.7444 1.3069
H 2.4127 5.5011 1.3069
H 4.8487 20.1127 2.5780
Au 4.1454 7.5489 1.0319
Au 8.0350 12.6717 2.3030
Au 0.7267 2.6966 1.0319
Au 1.7093 7.8194 2.3030
```

Computed properties:
- ΔE to the lowest computed polymorph (meV/atom) = 166